Material: CrInW2
Method: DFT, PBE
State: relaxed

Total moment: 11.28 Bohr magnetons per cell
V: 16.57 A^3/atom
DFT total energy: -145.4 eV per cell
ΔE_f: 477 meV/atom

a b c (Å): 6.424 6.424 6.424
angles (deg): 90.00 90.00 90.00
Space group F-43m (No. 216)
One atom of each set of equivalent atoms:
Cr (0.000, 0.000, 0.000) (multiplicity 4)
In (0.250, 0.250, 0.750) (multiplicity 4)
W (0.000, 0.000, 0.500) (multiplicity 4)
W (0.250, 0.250, 0.250) (multiplicity 4)

---

Material: CdNiC3
Method: DFT, PBE
State: relaxed

Total moment: 0.00 Bohr magnetons per cell
V: 14.87 A^3/atom
DFT total energy: -16.4 eV per cell
ΔE_f: 3600 meV/atom
Relative energy among the computed polymorphs: 1.358 eV/atom

a b c (Å): 4.205 4.205 4.205
angles (deg): 90.00 90.00 90.00
Space group Pm-3m (No. 221)
One atom of each set of equivalent atoms:
Cd (0.000, 0.000, 0.000) (multiplicity 1)
Ni (0.500, 0.500, 0.500) (multiplicity 1)
C (0.000, 0.000, 0.500) (multiplicity 3)

---

Material: MnNb4Os
Method: DFT, PBE
State: relaxed

Total moment: 0.00 Bohr magnetons per cell
V: 18.83 A^3/atom
DFT total energy: -59.2 eV per cell
ΔE_f: 253 meV/atom

a b c (Å): 4.573 4.057 6.177
angles (deg): 90.00 99.66 90.00
Space group P2/m (No. 10)
One atom of each set of equivalent atoms:
Mn (0.000, 0.000, 0.000) (multiplicity 1)
Nb (0.024, 0.500, 0.761) (multiplicity 2)
Nb (0.487, 0.000, 0.234) (multiplicity 2)
Os (0.500, 0.500, 0.500) (multiplicity 1)

---

| no. | D(E_F) (states/eV/cell) |
| --- | --- |
| 1 | 6.4 |
| 2 | 3.1 |
| 3 | 5.4 |